1.
In2Se | PBE | relaxed

* magnetization: 0.00 μB/f.u.
* energy relative to the lowest polymorph listed for this composition: 0.003 eV/atom
* formation energy from raw total energies: -6.9 kcal/mol of atoms
* DFT total energy: -39.5 eV for the cell shown

Cell: 4.2018 12.8283 6.1459 Å, 90.00 90.00 90.00°
Closest atoms and distances in Å follow each position.
Space group Cmcm (No. 63)
One atom of each set of equivalent atoms:
In: 0.0000 0.0186 0.2500  2 Se 2.92, 4 In 3.11-3.16
In: 0.0000 0.3348 0.2500  4 Se 2.92-3.08, 2 In 3.16
Se: 0.0000 0.3234 0.7500  6 In 2.92-3.08

---

2.
NpBiPd4 | PBE | relaxed

* magnetization: 3.83 μB/f.u.
* ΔH_f (0 K): -0.266 eV/atom
* DFT total energy: -156.8 eV for the cell shown

Cell: 7.7060 7.7060 7.7060 Å, 90.00 90.00 90.00°
Closest atoms and distances in Å follow each position.
Space group F-43m (No. 216)
One atom of each set of equivalent atoms:
Np: 0.0000 0.0000 0.0000  12 Pd 3.19, 4 Bi 3.34
Bi: 0.2500 0.2500 0.7500  12 Pd 3.20, 4 Np 3.34
Pd: 0.1256 0.1256 0.3744  6 Pd 2.71-2.74

---

3.
Pu2ScTaN4 | PBE | relaxed

* magnetization: 9.49 μB/f.u.
* formation energy from raw total energies: -32.5 kcal/mol of atoms
* DFT total energy: -91.4 eV for the cell shown

Cell: 5.6931 3.2814 5.7826 Å, 90.00 109.05 90.00°
Closest atoms and distances in Å follow each position.
Space group P2/m (No. 10)
One atom of each set of equivalent atoms:
Pu: 0.0000 0.0000 0.0000  6 N 2.45-2.47
Pu: 0.5000 0.5000 0.0000  6 N 2.40
Sc: 0.0000 0.5000 0.5000  6 N 2.29
Ta: 0.5000 0.0000 0.5000  6 N 2.21-2.23
N: 0.2522 0.0000 0.7249  1 Ta 2.21, 2 Sc 2.29, 3 Pu 2.40-2.47
N: 0.2675 0.5000 0.2790  2 Ta 2.23, 1 Sc 2.29, 3 Pu 2.40-2.45

---

4.
CaLa9Nd2 | PBE | relaxed

* magnetization: 0.00 μB/f.u.
* ΔH_f (0 K): 0.023 eV/atom
* DFT total energy: -55.6 eV for the cell shown

Cell: 5.2836 5.2836 15.8253 Å, 90.00 90.00 90.00°
Closest atoms and distances in Å follow each position.
Space group P4/mmm (No. 123)
One atom of each set of equivalent atoms:
Ca: 0.0000 0.0000 0.0000  12 La 3.74-3.78
La: 0.0000 0.5000 0.1712  2 Nd 3.68, 8 La 3.69-3.78, 2 Ca 3.78
La: 0.0000 0.5000 0.5000  8 La 3.73-3.74, 4 Nd 3.74
La: 0.5000 0.5000 0.0000  4 Ca 3.74, 8 La 3.78
La: 0.5000 0.5000 0.3339  8 La 3.69-3.73, 4 Nd 3.74
Nd: 0.0000 0.0000 0.3329  12 La 3.68-3.74

---

5.
TiSeS3 | PBE | relaxed

* magnetization: 0.06 μB/f.u.
* energy relative to the lowest polymorph listed for this composition: 0.595 eV/atom
* formation energy from raw total energies: 13.1 kcal/mol of atoms
* DFT total energy: -20.9 eV for the cell shown

Cell: 4.6908 4.6908 4.6908 Å, 90.00 90.00 90.00°
Closest atoms and distances in Å follow each position.
Space group Pm-3m (No. 221)
One atom of each set of equivalent atoms:
Ti: 0.0000 0.0000 0.0000  12 S 3.32
Se: 0.5000 0.5000 0.5000  6 S 2.35
S: 0.0000 0.5000 0.5000  2 Se 2.35

---

6.
Sc2Ga5Pd3 | PBE | relaxed

* magnetization: 0.00 μB/f.u.
* energy relative to the lowest polymorph listed for this composition: 0.000 eV/atom
* ΔH_f (0 K): -0.693 eV/atom
* DFT total energy: -201.2 eV for the cell shown

Cell: 4.2916 24.6152 6.4999 Å, 90.00 90.00 90.00°
Closest atoms and distances in Å follow each position.
Space group Cmc2_1 (No. 36)
One atom of each set of equivalent atoms:
Sc: 0.0000 0.0145 0.0000  5 Pd 2.82-3.03, 6 Ga 2.90-3.13
Sc: 0.0000 0.3262 0.0130  9 Ga 2.95-3.29, 4 Pd 3.09-3.30
Ga: 0.0000 0.1041 0.3281  3 Pd 2.52-2.60, 1 Ga 2.63
Ga: 0.0000 0.2052 0.8089  4 Pd 2.55-2.60, 1 Ga 2.73
Ga: 0.0000 0.2076 0.2290  3 Pd 2.54-2.57, 2 Ga 2.63-2.73
Ga: 0.0000 0.3785 0.4870  4 Pd 2.54-2.76, 1 Ga 2.67
Ga: 0.0000 0.4518 0.1851  4 Pd 2.54-2.60, 1 Ga 2.67
Pd: 0.0000 0.1037 0.7277  6 Ga 2.55-2.76, 1 Sc 2.82
Pd: 0.0000 0.2757 0.5218  7 Ga 2.54-2.60
Pd: 0.0000 0.4484 0.7849  5 Ga 2.52-2.60

---

7.
LaTcTe2 | PBE | relaxed

* magnetization: 0.00 μB/f.u.
* energy relative to the lowest polymorph listed for this composition: 0.443 eV/atom
* formation energy from raw total energies: -8.1 kcal/mol of atoms
* DFT total energy: -23.0 eV for the cell shown

Cell: 3.4260 3.4260 9.3657 Å, 90.00 90.00 90.00°
Closest atoms and distances in Å follow each position.
Space group P4mm (No. 99)
One atom of each set of equivalent atoms:
La: 0.0000 0.0000 0.0000  4 Tc 3.26, 5 Te 3.37-3.46, 4 La 3.43
Tc: 0.5000 0.5000 0.2332  4 Te 2.74
Te: 0.0000 0.0000 0.3690  4 Tc 2.74
Te: 0.5000 0.5000 0.7493  4 La 3.37, 4 Te 3.43

---

8.
BeAg2Ru | PBE | relaxed

* magnetization: 0.23 μB/f.u.
* ΔH_f (0 K): 0.207 eV/atom
* DFT total energy: -35.8 eV for the cell shown

Cell: 3.1378 2.9588 12.8172 Å, 90.00 90.00 90.00°
Closest atoms and distances in Å follow each position.
Space group Amm2 (No. 38)
One atom of each set of equivalent atoms:
Be: 0.0000 0.0000 0.0000  4 Ru 2.26, 2 Ag 2.44
Ag: 0.0000 0.0000 0.2024  1 Be 2.59, 4 Ru 2.88, 4 Ag 2.90
Ag: 0.5000 0.0000 0.8539  2 Be 2.44
Ru: 0.5000 0.0000 0.5532  4 Be 2.26